Sr2ScBr | GGA-PBE | relaxed

Structure (POSCAR):
```
Sr2ScBr
1.0
-5.215 9.331 -0.105
-5.394 8.338 -3.956
-8.068 6.872 -1.396
Br Sc Sr
1 1 2
direct
0.250 0.250 0.250
0.750 0.750 0.750
0.993 0.993 0.993
0.507 0.507 0.507
```

Summary:
The density of states at the Fermi level comes out at 3.3 states/eV/f.u. The space group is No. 166. As for the formation energy without anion corrections: -2.1 eV/f.u. The calculation puts the energy above the most stable polymorph in this dataset at 0.00 kcal/mol of atoms.

Cs3ZnHg2F9 | GGA-PBE | relaxed

Structure (POSCAR):
```
Cs3ZnHg2F9
1.0
6.397 0.000 0.000
-3.199 5.540 0.000
0.000 0.000 7.865
Cs Zn Hg F
3 1 2 9
direct
0.333 0.667 0.669
0.000 0.000 0.000
0.667 0.333 0.331
0.000 0.000 0.500
0.333 0.667 0.183
0.667 0.333 0.817
0.845 0.155 0.652
0.845 0.690 0.652
0.310 0.155 0.652
0.690 0.845 0.348
0.155 0.310 0.348
0.155 0.845 0.348
0.500 0.000 0.000
0.000 0.500 0.000
0.500 0.500 0.000
```

Summary:
The space group is No. 164. As for the formation energy without anion corrections: -32.6 eV/f.u.

Tb2Dy4Mg | GGA-PBE | relaxed

Structure (POSCAR):
```
Tb2Dy4Mg
1.0
-4.533 -0.998 -3.793
3.671 -4.299 -3.256
-1.428 -7.595 8.419
Tb Dy Mg
4 8 2
direct
0.603 0.750 0.004
0.397 0.250 0.996
0.280 0.250 0.424
0.720 0.750 0.576
0.644 0.499 0.287
0.025 0.750 0.875
0.975 0.250 0.125
0.644 0.001 0.287
0.852 0.250 0.560
0.356 0.999 0.713
0.356 0.501 0.713
0.148 0.750 0.440
0.154 0.750 0.166
0.846 0.250 0.834
```

Summary:
The density of states at the Fermi level comes out at 9.5 states/eV/f.u. The space group is No. 11. As for the formation enthalpy at 0 K: 0.10 eV/atom. The calculation puts the energy above the most stable polymorph in this dataset at 0.00 kcal/mol of atoms.

VZn2Ru | GGA-PBE | relaxed

Structure (POSCAR):
```
VZn2Ru
1.0
2.692 0.000 0.000
1.346 2.331 0.000
1.346 0.777 9.522
Ru Zn V
1 2 1
direct
0.500 0.500 0.500
0.091 0.091 0.728
0.909 0.909 0.272
0.000 0.000 0.000
```

Summary:
The density of states at the Fermi level comes out at 4.0 states/eV/f.u. The space group is No. 166. As for the formation enthalpy at 0 K: 0.36 eV/atom. The calculation puts the energy above the most stable polymorph in this dataset at 6.37 kcal/mol of atoms.

CeSmCBr | GGA-PBE | relaxed

Structure (POSCAR):
```
CeSmCBr
1.0
3.730 0.001 0.000
-1.863 3.229 0.000
-1.865 -1.077 7.452
Ce Sm C Br
1 1 1 1
direct
0.088 0.942 0.045
0.512 0.154 0.681
0.306 0.551 0.873
0.972 0.384 0.371
```

Summary:
The density of states at the Fermi level comes out at 4.3 states/eV/f.u. The space group is No. 160. As for the formation energy without anion corrections: -3.5 eV/f.u.

Tb2BeZn3Ni12 | GGA-PBE | relaxed

Structure (POSCAR):
```
Tb2BeZn3Ni12
1.0
8.574 1.477 1.048
5.519 6.726 1.048
5.519 3.212 6.001
Tb Be Zn Ni
2 1 3 12
direct
0.657 0.657 0.657
0.343 0.343 0.343
0.000 0.000 0.000
0.500 0.000 0.000
0.000 0.500 0.000
0.000 0.000 0.500
0.425 0.425 0.814
0.928 0.928 0.338
0.338 0.928 0.928
0.814 0.425 0.425
0.928 0.338 0.928
0.425 0.814 0.425
0.575 0.575 0.186
0.072 0.072 0.662
0.662 0.072 0.072
0.186 0.575 0.575
0.072 0.662 0.072
0.575 0.186 0.575
```

Summary:
The density of states at the Fermi level comes out at 11.2 states/eV/f.u. The space group is No. 166. As for the formation enthalpy at 0 K: 0.05 eV/atom.